The following is a DFT calculation (PBE) of crystalline FeOsCl at its relaxed geometry.

The structure in extended XYZ format:
```
3
Lattice="-3.853 0.535 -1.257 -1.731 -2.729 -2.503 -2.961 -2.454 1.385" Properties=species:S:1:pos:R:3 pbc="T T T"
Os -6.409 -3.486 -1.781
Fe -4.273 -2.324 -1.187
Cl 0.000 0.000 0.000
```

Computed properties:
Calculated volume, Å³/cell: 48.3
Final energy, eV/atom: -6.02
Total moment, μB/atom: 0.422
Formation energy without anion corrections, meV/atom: 1160
Offset from the most stable computed form, eV/f.u.: 2.028

---

The following is a DFT calculation (PBE) of crystalline Sc3CdC at its relaxed geometry.

The structure in extended XYZ format:
```
10
Lattice="-1.988 4.396 4.155 -2.423 -5.887 -0.056 4.397 -1.848 4.060" Properties=species:S:1:pos:R:3 pbc="T T T"
Sc -2.291 -3.993 3.079
Sc -0.127 -3.261 1.069
Sc 0.112 -0.079 7.090
Sc 2.276 0.653 5.079
Sc 0.000 0.000 0.000
Sc 2.198 -0.924 2.030
C -1.264 -4.936 1.538
C 1.249 1.596 6.621
Cd -1.097 -0.967 3.163
Cd 1.081 -2.373 4.995
```

Computed properties:
Calculated volume, Å³/cell: 216.0
Calculated formation energy, eV per atom: 0.110
Final energy, eV/atom: -5.72
Total moment, μB/atom: 0.006
Offset from the most stable computed form, eV/f.u.: 2.868

---

> Which of these has the highest total moment?

FeOsCl